{"formula": "ZrGe", "functional": "GGA-PBE", "state": "optimized geometry", "e_tot_ev_per_atom": -6.91, "formation_energy_ev_per_fu": -0.7, "lattice_angstrom": [[-3.915, 3.915, 2.756], [3.915, -3.915, 2.756], [3.915, 3.915, -2.756]], "species": ["Zr", "Zr", "Zr", "Zr", "Ge", "Ge", "Ge", "Ge"], "fractional_positions": [[0.071, 0.295, 0.366], [0.295, 0.929, 0.224], [0.705, 0.071, 0.776], [0.929, 0.705, 0.634], [0.260, 0.580, 0.840], [0.420, 0.260, 0.681], [0.580, 0.740, 0.319], [0.740, 0.420, 0.160]]}